1.
LiMnVF6: optimized geometry, PBEsol.

```
data_LiMnVF6
_cell_length_a 8.6460
_cell_length_b 8.6460
_cell_length_c 4.6096
_cell_angle_alpha 90.00
_cell_angle_beta 90.00
_cell_angle_gamma 120.00
_symmetry_space_group_name_H-M 'P 3 2 1'
_symmetry_Int_Tables_number 150
_symmetry_space_group_name_Hall 'P 3 2"'
loop_
_atom_site_label
_atom_site_type_symbol
_atom_site_fract_x
_atom_site_fract_y
_atom_site_fract_z
Li1 Li 0.0000 0.0000 0.0000
Li2 Li 0.3333 0.6667 0.5023
Mn1 Mn 0.0000 0.3521 0.0000
V1 V 0.0000 0.6848 0.5000
F1 F 0.1090 0.5755 0.7340
F2 F 0.1109 0.2217 0.7587
F3 F 0.2196 0.4395 0.2739
```

Results
**Polymorph energy (0 for the lowest one)**: 0.000 eV per atom
**Formation energy from raw total energies**: -2.681 eV/atom
**Magnetic moment**: 21.00 μB/cell

2.
LiMnVF6: optimized geometry, PBEsol.

```
data_LiMnVF6
_cell_length_a 4.692
_cell_length_b 4.692
_cell_length_c 9.337
_cell_angle_alpha 90.00
_cell_angle_beta 90.00
_cell_angle_gamma 90.00
_symmetry_space_group_name_H-M 'P 42 n m'
_symmetry_Int_Tables_number 102
_symmetry_space_group_name_Hall 'P 4n -2n'
loop_
_atom_site_label
_atom_site_type_symbol
_atom_site_fract_x
_atom_site_fract_y
_atom_site_fract_z
Li1 Li 0.000 0.000 0.000
Mn1 Mn 0.000 0.000 0.669
V1 V 0.000 0.000 0.333
F1 F 0.191 0.191 0.174
F2 F 0.195 0.195 0.491
F3 F 0.208 0.208 0.836
```

Results
**Polymorph energy (0 for the lowest one)**: 0.003 eV per atom
**Formation energy from raw total energies**: -2.678 eV/atom
**Magnetic moment**: 14.00 μB/cell

3.
Li2MoF6: optimized geometry, PBEsol.

```
data_Li2MoF6
_cell_length_a 4.655
_cell_length_b 4.655
_cell_length_c 9.175
_cell_angle_alpha 90.00
_cell_angle_beta 90.00
_cell_angle_gamma 90.00
_symmetry_space_group_name_H-M 'P 42/m n m'
_symmetry_Int_Tables_number 136
_symmetry_space_group_name_Hall '-P 4n 2n'
loop_
_atom_site_label
_atom_site_type_symbol
_atom_site_fract_x
_atom_site_fract_y
_atom_site_fract_z
Li1 Li 0.000 0.000 0.165
Mo1 Mo 0.000 0.000 0.500
F1 F 0.196 0.196 0.338
F2 F 0.205 0.205 0.000
```

Results
**Formation energy from raw total energies**: -2.694 eV/atom
**Magnetic moment**: 4.00 μB/cell

4.
LiMoN2F: optimized geometry, PBEsol.

```
data_LiMoN2F
_cell_length_a 3.871
_cell_length_b 3.871
_cell_length_c 4.056
_cell_angle_alpha 90.00
_cell_angle_beta 90.00
_cell_angle_gamma 90.00
_symmetry_space_group_name_H-M 'P 4/m m m'
_symmetry_Int_Tables_number 123
_symmetry_space_group_name_Hall '-P 4 2'
loop_
_atom_site_label
_atom_site_type_symbol
_atom_site_fract_x
_atom_site_fract_y
_atom_site_fract_z
Li1 Li 0.000 0.000 0.000
Mo1 Mo 0.500 0.500 0.500
N1 N 0.000 0.500 0.500
F1 F 0.500 0.500 0.000
```

Results
**Formation energy from raw total energies**: -0.730 eV/atom
**Magnetic moment**: 0.01 μB/cell